Compound: YCu3Ag
Source: Alexandria
Functional: PBE-GGA
Structure: optimized geometry

abc: 5.1007 5.1007 5.1007
angles: 90.00 90.00 90.00
With the nearest neighbours (Å) after each atom.
Sites, in units of the cell vectors:
1 Y 0.0000 0.0000 0.0000  6 Cu 2.55
2 Cu 0.0000 0.0000 0.5000  2 Y 2.55
3 Cu 0.0000 0.5000 0.0000  2 Y 2.55
4 Cu 0.5000 0.0000 0.0000  2 Y 2.55
5 Ag 0.5000 0.5000 0.5000  12 Cu 3.61

Calculated values
- Calculated formation energy: 1219 meV per atom


Compound: Ni2PPt
Source: Alexandria
Functional: PBE-GGA
Structure: optimized geometry

abc: 3.6886 3.6886 3.6292
angles: 90.00 90.00 90.00
With the nearest neighbours (Å) after each atom.
Sites, in units of the cell vectors:
1 Ni 0.0000 0.5000 0.0000  4 Pt 2.59, 4 P 2.59, 4 Ni 2.61
2 Ni 0.5000 0.0000 0.0000  4 Pt 2.59, 4 P 2.59, 4 Ni 2.61
3 P 0.0000 0.0000 0.5000  8 Ni 2.59, 4 Pt 2.61
4 Pt 0.5000 0.5000 0.5000  8 Ni 2.59, 4 P 2.61

Calculated values
- Calculated formation energy: -115 meV per atom


Compound: ErTl2Pb2
Source: Alexandria
Functional: PBE-GGA
Structure: optimized geometry

abc: 6.5691 6.5691 8.8476
angles: 108.64 108.64 54.50
With the nearest neighbours (Å) after each atom.
Sites, in units of the cell vectors:
1 Er 0.1642 0.8358 0.7500  6 Tl 3.36-3.53, 6 Pb 3.37-3.46
2 Er 0.8358 0.1642 0.2500  6 Tl 3.36-3.53, 6 Pb 3.37-3.46
3 Tl 0.0499 0.3691 0.6544  3 Er 3.36-3.53, 3 Tl 3.38-3.41, 6 Pb 3.41-3.61
4 Tl 0.3691 0.0499 0.1544  3 Er 3.36-3.53, 3 Tl 3.38-3.41, 6 Pb 3.41-3.61
5 Tl 0.6309 0.9501 0.8456  3 Er 3.36-3.53, 3 Tl 3.38-3.41, 6 Pb 3.41-3.61
6 Tl 0.9501 0.6309 0.3456  3 Er 3.36-3.53, 3 Tl 3.38-3.41, 6 Pb 3.41-3.61
7 Pb 0.2430 0.5836 0.0568  2 Pb 3.28-3.29, 3 Er 3.37-3.46, 6 Tl 3.41-3.61
8 Pb 0.4164 0.7570 0.4432  2 Pb 3.28-3.29, 3 Er 3.37-3.46, 6 Tl 3.41-3.61
9 Pb 0.5836 0.2430 0.5568  2 Pb 3.28-3.29, 3 Er 3.37-3.46, 6 Tl 3.41-3.61
10 Pb 0.7570 0.4164 0.9432  2 Pb 3.28-3.29, 3 Er 3.37-3.46, 6 Tl 3.41-3.61

Calculated values
- Calculated formation energy: -120 meV per atom


Compound: LiFeHg2
Source: Alexandria
Functional: PBE-GGA
Structure: optimized geometry

abc: 3.1075 3.1833 6.9896
angles: 90.00 90.08 90.00
With the nearest neighbours (Å) after each atom.
Sites, in units of the cell vectors:
1 Li 0.0000 0.0000 0.0000  8 Hg 2.83, 2 Li 3.11
2 Fe 0.0000 0.0000 0.5000  8 Hg 2.83, 2 Fe 3.11
3 Hg 0.4992 0.5000 0.7504  4 Li 2.83, 4 Fe 2.83, 2 Hg 3.11
4 Hg 0.5008 0.5000 0.2496  4 Li 2.83, 4 Fe 2.83, 2 Hg 3.11

Calculated values
- Calculated formation energy: 93 meV per atom


Spin magnetization list, top to bottom, in μB/cell: 0.00, 0.00, 0.00, 2.75